# Zr2SnBi | Alexandria via LeMat-Bulk | PBE-GGA | relaxed
# space group = R3m
# Fermi-level density of states = 3.10 states/eV/f.u.
# ΔE_f = -108 kJ/mol of formula units
data_Zr2SnBi
_cell_length_a 7.542
_cell_length_b 7.542
_cell_length_c 7.542
_cell_angle_alpha 31.64
_cell_angle_beta 31.64
_cell_angle_gamma 31.64
_symmetry_space_group_name_H-M 'P 1'
_symmetry_Int_Tables_number 1
loop_
_symmetry_equiv_pos_as_xyz
'x,y,z'
loop_
_atom_site_label
_atom_site_type_symbol
_atom_site_fract_x
_atom_site_fract_y
_atom_site_fract_z
Zr1 Zr 0.000 0.000 0.000
Zr2 Zr 0.179 0.179 0.179
Sn1 Sn 0.591 0.591 0.591
Bi1 Bi 0.422 0.422 0.422

=====

# Te2Pb2Se | Alexandria via LeMat-Bulk | PBE-GGA | relaxed
# formation energy without anion corrections = -0.09 eV per atom
# space group = I4/mmm
# Fermi-level density of states = 1.88 states/eV/f.u.
# distance to the lowest polymorph of the same formula = 0.0 kJ/mol of atoms
data_Te2Pb2Se
_cell_length_a 8.871
_cell_length_b 8.871
_cell_length_c 8.871
_cell_angle_alpha 151.26
_cell_angle_beta 151.26
_cell_angle_gamma 41.10
_symmetry_space_group_name_H-M 'P 1'
_symmetry_Int_Tables_number 1
loop_
_symmetry_equiv_pos_as_xyz
'x,y,z'
loop_
_atom_site_label
_atom_site_type_symbol
_atom_site_fract_x
_atom_site_fract_y
_atom_site_fract_z
Te1 Te 0.250 0.750 0.500
Te2 Te 0.750 0.250 0.500
Pb1 Pb 0.095 0.095 0.000
Pb2 Pb 0.905 0.905 0.000
Se1 Se 0.500 0.500 0.000